No. 1
Below is Cd5Ni after structural relaxation, with properties calculated at the PBE-GGA level.

distance to the lowest polymorph of the same formula = 0.048 eV/f.u.
DFT total energy = -0.1252 Ry per atom
E_form = 0.022 eV per atom
Fermi-level density of states = 1.712 states/eV/f.u.

a b c (Å): 6.4301 6.4301 7.5030
angles (deg): 117.78 117.78 27.04
Closest atoms and distances in Å follow each position.
Element x y z (fractional)
Cd: 0.0000 0.0000 0.0000  2 Ni 2.76, 6 Cd 2.98-3.07
Cd: 0.0117 0.0117 0.4123  2 Ni 2.73, 5 Cd 3.00-3.03
Cd: 0.2671 0.2671 0.1387  2 Ni 2.77, 6 Cd 2.98-3.04
Cd: 0.3635 0.3635 0.5952  2 Ni 2.79, 5 Cd 3.01-3.07
Cd: 0.7096 0.7096 0.7594  9 Cd 2.99-3.19, 1 Ni 3.02
Ni: 0.6633 0.6633 0.3262  9 Cd 2.73-3.02, 2 Ni 3.01

No. 2
Below is Cd2Ni after structural relaxation, with properties calculated at the PBE-GGA level.

DFT total energy = -0.1817 Ry per atom
E_form = 0.065 eV per atom
Fermi-level density of states = 1.777 states/eV/f.u.

a b c (Å): 5.5343 4.4644 8.4534
angles (deg): 90.00 90.00 90.00
Closest atoms and distances in Å follow each position.
Element x y z (fractional)
Cd: 0.0716 0.2500 0.2016  5 Ni 2.72-2.98, 5 Cd 2.89-3.02
Cd: 0.1711 0.2500 0.5523  5 Ni 2.70-2.91, 3 Cd 2.93-3.02
Cd: 0.3289 0.7500 0.0523  5 Ni 2.70-2.91, 3 Cd 2.93-3.02
Cd: 0.4284 0.7500 0.7016  5 Ni 2.72-2.98, 5 Cd 2.89-3.02
Cd: 0.5716 0.2500 0.2984  5 Ni 2.72-2.98, 5 Cd 2.89-3.02
Cd: 0.6711 0.2500 0.9477  5 Ni 2.70-2.91, 3 Cd 2.93-3.02
Cd: 0.8289 0.7500 0.4477  5 Ni 2.70-2.91, 3 Cd 2.93-3.02
Cd: 0.9284 0.7500 0.7984  5 Ni 2.72-2.98, 5 Cd 2.89-3.02
Ni: 0.1844 0.2500 0.8717  10 Cd 2.70-2.98
Ni: 0.3156 0.7500 0.3717  10 Cd 2.70-2.98
Ni: 0.6844 0.2500 0.6283  10 Cd 2.70-2.98
Ni: 0.8156 0.7500 0.1283  10 Cd 2.70-2.98

No. 3
Below is Cd5Ni after structural relaxation, with properties calculated at the PBE-GGA level.

distance to the lowest polymorph of the same formula = 0.319 eV/f.u.
DFT total energy = -0.1219 Ry per atom
E_form = 0.067 eV per atom
Fermi-level density of states = 2.849 states/eV/f.u.

a b c (Å): 4.7419 8.3564 8.3564
angles (deg): 21.27 90.00 90.00
Closest atoms and distances in Å follow each position.
Element x y z (fractional)
Cd: 0.0000 0.0000 0.0000  2 Ni 2.87, 8 Cd 2.91-3.10
Cd: 0.0000 0.2945 0.2945  2 Ni 2.87, 8 Cd 2.91-3.18
Cd: 0.5000 0.1024 0.1024  6 Cd 2.91-3.08, 4 Ni 2.92
Cd: 0.5000 0.4232 0.4232  12 Cd 3.08-3.32
Cd: 0.5000 0.7530 0.7530  10 Cd 2.91-3.19, 2 Ni 2.94
Ni: 0.0000 0.6475 0.6475  10 Cd 2.87-2.94, 2 Ni 3.08

No. 4
Below is Cd2Ni after structural relaxation, with properties calculated at the PBE-GGA level.

DFT total energy = -0.1483 Ry per atom
E_form = 0.520 eV per atom
Fermi-level density of states = 2.436 states/eV/f.u.

a b c (Å): 5.4723 5.4723 5.4723
angles (deg): 60.00 60.00 60.00
Closest atoms and distances in Å follow each position.
Element x y z (fractional)
Cd: 0.0000 0.0000 0.0000  6 Cd 2.74
Cd: 0.0000 0.0000 0.5000  6 Cd 2.74
Cd: 0.0000 0.5000 0.0000  6 Cd 2.74
Cd: 0.5000 0.0000 0.0000  6 Cd 2.74
Ni: 0.3750 0.3750 0.3750  12 Cd 3.21, 4 Ni 3.35
Ni: 0.6250 0.6250 0.6250  12 Cd 3.21, 4 Ni 3.35

No. 5
Below is Cd2Ni after structural relaxation, with properties calculated at the PBE-GGA level.

DFT total energy = -0.1695 Ry per atom
E_form = 0.231 eV per atom
Fermi-level density of states = 1.686 states/eV/f.u.

a b c (Å): 4.6546 4.6546 2.8464
angles (deg): 90.00 90.00 120.00
Closest atoms and distances in Å follow each position.
Element x y z (fractional)
Cd: 0.3333 0.6667 0.0000  5 Cd 2.69-2.85
Cd: 0.6667 0.3333 0.0000  5 Cd 2.69-2.85
Ni: 0.0000 0.0000 0.5000  2 Ni 2.85, 12 Cd 3.04

No. 6
Below is CdNi2 after structural relaxation, with properties calculated at the PBE-GGA level.

DFT total energy = -0.2814 Ry per atom
E_form = 0.331 eV per atom
Fermi-level density of states = 3.379 states/eV/f.u.

a b c (Å): 7.6064 7.6064 7.6064
angles (deg): 152.59 152.59 39.16
Closest atoms and distances in Å follow each position.
Element x y z (fractional)
Cd: 0.3750 0.6250 0.7500  12 Ni 2.79-3.05
Cd: 0.6250 0.3750 0.2500  12 Ni 2.79-3.05
Ni: 0.0466 0.7966 0.2500  3 Ni 2.24-2.25
Ni: 0.2034 0.9534 0.2500  3 Ni 2.24-2.25
Ni: 0.7966 0.0466 0.7500  3 Ni 2.24-2.25
Ni: 0.9534 0.2034 0.7500  3 Ni 2.24-2.25